1.
This record from the Alexandria database describes a relaxed MnCr2Se4 crystal. The functional is PBE.

a = 7.044 Å, b = 7.044 Å, c = 6.425 Å
α = 117.04°, β = 117.04°, γ = 30.60°
Fractional positions:
Mn1 0.000 0.000 0.000
Cr1 0.258 0.258 0.244
Cr2 0.742 0.742 0.756
Se1 0.128 0.128 0.800
Se2 0.364 0.364 0.702
Se3 0.636 0.636 0.298
Se4 0.872 0.872 0.200

Values from the calculation:
ΔE to the lowest computed polymorph = 0.0210 eV per atom
energy relative to the elements, uncorrected = -504 meV per atom
size of the total moment = 10.75 μB/f.u.

2.
This record from the Alexandria database describes a relaxed PmInGa4 crystal. The functional is PBE.

a = 4.414 Å, b = 4.840 Å, c = 6.353 Å
α = 90.00°, β = 110.20°, γ = 90.00°
Fractional positions:
Pm1 0.000 0.000 0.000
In1 0.500 0.500 0.000
Ga1 0.175 0.500 0.354
Ga2 0.311 0.000 0.621
Ga3 0.689 0.000 0.379
Ga4 0.825 0.500 0.646

Values from the calculation:
ΔE to the lowest computed polymorph = 0.0000 eV per atom
size of the total moment = 0.00 μB/f.u.
formation enthalpy at 0 K = -295 meV/atom

3.
This record from the Alexandria database describes a relaxed B3MoSe crystal. The functional is PBE.

a = 4.249 Å, b = 4.249 Å, c = 4.249 Å
α = 90.00°, β = 90.00°, γ = 90.00°
Fractional positions:
B1 0.000 0.000 0.500
B2 0.000 0.500 0.000
B3 0.500 0.000 0.000
Mo1 0.000 0.000 0.000
Se1 0.500 0.500 0.500

Values from the calculation:
ΔE to the lowest computed polymorph = 0.0000 eV per atom
energy relative to the elements, uncorrected = 1729 meV per atom
size of the total moment = 0.00 μB/f.u.

4.
This record from the Alexandria database describes a relaxed BaTl2Rh crystal. The functional is PBE.

a = 4.715 Å, b = 4.715 Å, c = 6.710 Å
α = 110.70°, β = 110.70°, γ = 60.21°
Fractional positions:
Ba1 0.000 0.000 0.000
Tl1 0.213 0.213 0.639
Tl2 0.787 0.787 0.361
Rh1 0.500 0.500 0.500

Values from the calculation:
size of the total moment = 0.00 μB/f.u.
formation enthalpy at 0 K = -167 meV/atom

5.
This record from the Alexandria database describes a relaxed Sr2AlSe crystal. The functional is PBE.

a = 5.789 Å, b = 5.789 Å, c = 5.789 Å
α = 126.88°, β = 126.88°, γ = 78.44°
Fractional positions:
Sr1 0.250 0.750 0.500
Sr2 0.750 0.250 0.500
Al1 0.000 0.000 0.000
Se1 0.500 0.500 0.000

Values from the calculation:
ΔE to the lowest computed polymorph = 0.2627 eV per atom
energy relative to the elements, uncorrected = -607 meV per atom
size of the total moment = 0.00 μB/f.u.

6.
This record from the Alexandria database describes a relaxed KMn2Te crystal. The functional is PBE.

a = 7.387 Å, b = 7.387 Å, c = 7.387 Å
α = 32.73°, β = 32.73°, γ = 32.73°
Fractional positions:
K1 0.000 0.000 0.000
Mn1 0.207 0.207 0.207
Mn2 0.521 0.521 0.521
Te1 0.795 0.795 0.795

Values from the calculation:
energy relative to the elements, uncorrected = 79 meV per atom
size of the total moment = 0.98 μB/f.u.

7.
This record from the Alexandria database describes a relaxed CsPrPa2O7 crystal. The functional is PBE.

a = 4.312 Å, b = 4.312 Å, c = 11.759 Å
α = 90.00°, β = 90.00°, γ = 90.00°
Fractional positions:
Cs1 0.000 0.000 0.000
Pr1 0.000 0.000 0.500
Pa1 0.500 0.500 0.312
Pa2 0.500 0.500 0.688
O1 0.000 0.500 0.362
O2 0.000 0.500 0.638
O3 0.500 0.000 0.362
O4 0.500 0.000 0.638
O5 0.500 0.500 0.145
O6 0.500 0.500 0.500
O7 0.500 0.500 0.855

Values from the calculation:
energy relative to the elements, uncorrected = -3208 meV per atom
size of the total moment = 0.00 μB/f.u.

8.
This record from the Alexandria database describes a relaxed LaZrSi4 crystal. The functional is PBE.

a = 5.335 Å, b = 5.335 Å, c = 5.335 Å
α = 60.00°, β = 60.00°, γ = 60.00°
Fractional positions:
La1 0.000 0.000 0.000
Zr1 0.250 0.250 0.250
Si1 0.140 0.620 0.620
Si2 0.620 0.140 0.620
Si3 0.620 0.620 0.140
Si4 0.620 0.620 0.620

Values from the calculation:
ΔE to the lowest computed polymorph = 0.3426 eV per atom
energy relative to the elements, uncorrected = -199 meV per atom
size of the total moment = 0.00 μB/f.u.

- Which value of size of the total moment does entry 2 give?
  0.00 μB/f.u.

- Which formula does entry 2 have?
  PmInGa4